(1)
! ScCdRh3 PBE-GGA optimized geometry; values from VASP
&SYSTEM
  ibrav = 0, nat = 5, ntyp = 3
/
ATOMIC_SPECIES
Sc 44.96 Sc.upf
Rh 102.91 Rh.upf
Cd 112.41 Cd.upf
ATOMIC_POSITIONS angstrom
Sc -3.341 0.624 2.418
Rh -0.829 -1.544 1.652
Rh -0.267 1.814 1.561
Rh -2.245 0.354 -0.795
Cd 0.000 0.000 0.000
CELL_PARAMETERS angstrom
-4.491 0.708 -1.591
-1.657 -3.087 3.304
-0.534 3.628 3.122
! Fermi-level density of states, states/eV/atom: 1.4923
! Space group: Pm-3m, No. 221
! Energy relative to the elements, eV per atom: 1.004
! ΔE to the lowest computed polymorph, meV/atom: 420.1

(2)
! Ce2In2Hg3 PBE-GGA optimized geometry; values from VASP
&SYSTEM
  ibrav = 0, nat = 7, ntyp = 3
/
ATOMIC_SPECIES
Ce 140.12 Ce.upf
In 114.82 In.upf
Hg 200.59 Hg.upf
ATOMIC_POSITIONS angstrom
Ce 2.454 1.588 2.054
Ce 0.000 4.031 6.357
In 0.000 1.258 4.399
In 2.454 4.362 4.011
Hg 0.000 3.615 2.439
Hg 0.000 0.000 0.000
Hg 2.454 2.004 5.971
CELL_PARAMETERS angstrom
4.907 0.000 0.000
-2.454 5.372 1.251
0.000 0.248 7.159
! Fermi-level density of states, states/eV/atom: 2.1445
! Space group: C2/m, No. 12
! Energy relative to the elements, eV per atom: -0.269

(3)
! DyZnHg2 PBE-GGA optimized geometry; values from VASP
&SYSTEM
  ibrav = 0, nat = 8, ntyp = 3
/
ATOMIC_SPECIES
Dy 162.50 Dy.upf
Zn 65.41 Zn.upf
Hg 200.59 Hg.upf
ATOMIC_POSITIONS angstrom
Dy 1.213 1.771 8.397
Dy 3.640 0.000 2.044
Zn 3.640 0.000 7.022
Zn 1.213 1.771 3.419
Hg 1.213 0.000 5.752
Hg 3.640 1.771 4.689
Hg 3.640 0.000 9.671
Hg 1.213 1.771 0.770
CELL_PARAMETERS angstrom
4.854 0.000 0.000
0.000 3.542 0.000
0.000 -1.771 10.441
! Fermi-level density of states, states/eV/atom: 0.4403
! Space group: Cmcm, No. 63
! Energy relative to the elements, eV per atom: -0.283
! ΔE to the lowest computed polymorph, meV/atom: 16.8

(4)
! Tb2Sn5Pd12 PBE-GGA optimized geometry; values from VASP
&SYSTEM
  ibrav = 0, nat = 19, ntyp = 3
/
ATOMIC_SPECIES
Tb 158.93 Tb.upf
Sn 118.71 Sn.upf
Pd 106.42 Pd.upf
ATOMIC_POSITIONS angstrom
Tb -3.503 -2.218 4.894
Tb -1.027 -0.650 1.434
Sn 2.036 3.259 2.934
Sn 3.490 0.480 2.715
Sn -0.449 3.190 1.124
Sn -1.292 3.985 6.315
Sn 0.161 1.206 6.096
Pd 1.201 1.137 1.375
Pd 3.223 5.560 2.698
Pd 1.449 4.437 5.176
Pd 4.770 3.002 2.392
Pd 2.785 1.745 5.166
Pd 4.310 4.211 4.993
Pd -2.113 0.253 4.037
Pd -2.573 1.462 6.638
Pd -0.588 2.719 3.864
Pd -1.026 -1.095 6.332
Pd 0.748 0.027 3.854
Pd 0.996 3.328 7.656
CELL_PARAMETERS angstrom
-4.529 -2.867 6.328
7.625 0.953 0.455
-0.899 6.379 2.247
! Fermi-level density of states, states/eV/atom: 0.4195
! Space group: C2/m, No. 12
! Energy relative to the elements, eV per atom: -0.500

(5)
! MgCd2Sn PBE-GGA optimized geometry; values from VASP
&SYSTEM
  ibrav = 0, nat = 4, ntyp = 3
/
ATOMIC_SPECIES
Mg 24.30 Mg.upf
Cd 112.41 Cd.upf
Sn 118.71 Sn.upf
ATOMIC_POSITIONS angstrom
Mg -3.646 -0.342 -0.723
Cd -1.081 0.847 0.707
Cd -3.209 2.504 2.143
Sn -2.252 -2.052 1.285
CELL_PARAMETERS angstrom
-3.752 -4.071 -0.862
-0.751 -0.034 3.433
-3.539 3.386 -0.583
! Fermi-level density of states, states/eV/atom: 0.2908
! Space group: P2/m, No. 10
! Energy relative to the elements, eV per atom: -0.020
! ΔE to the lowest computed polymorph, meV/atom: 13.9

(6)
! As8W PBE-GGA optimized geometry; values from VASP
&SYSTEM
  ibrav = 0, nat = 9, ntyp = 2
/
ATOMIC_SPECIES
As 74.92 As.upf
W 183.84 W.upf
ATOMIC_POSITIONS angstrom
As -1.310 1.310 2.197
As 1.310 -1.310 2.197
As 5.924 0.000 0.000
As 3.071 3.071 0.000
As 0.000 5.924 0.000
As 1.310 1.310 2.197
As 2.840 0.000 0.000
As 0.000 2.840 0.000
W 0.000 0.000 0.000
CELL_PARAMETERS angstrom
-4.382 4.382 2.197
4.382 -4.382 2.197
4.382 4.382 -2.197
! Fermi-level density of states, states/eV/atom: 0.5433
! Space group: I4/mmm, No. 139
! Energy relative to the elements, eV per atom: 0.464

(7)
! Pm2SCl2 PBE-GGA optimized geometry; values from VASP
&SYSTEM
  ibrav = 0, nat = 5, ntyp = 3
/
ATOMIC_SPECIES
Pm 145.00 Pm.upf
S 32.06 S.upf
Cl 35.45 Cl.upf
ATOMIC_POSITIONS angstrom
Pm -2.067 -4.316 -1.070
Pm -8.926 -3.812 0.220
S 0.000 0.000 0.000
Cl -3.440 -1.981 -0.082
Cl -7.553 -6.147 -0.767
CELL_PARAMETERS angstrom
-0.745 -2.700 -2.908
-0.123 -3.938 0.884
-10.125 -1.490 1.174
! Fermi-level density of states, states/eV/atom: 0.4544
! Energy relative to the elements, uncorrected, eV/atom: -2.07
! Space group: R-3m, No. 166

(8)
! U2FeI8 PBE-GGA optimized geometry; values from VASP
&SYSTEM
  ibrav = 0, nat = 11, ntyp = 3
/
ATOMIC_SPECIES
I 126.90 I.upf
U 238.03 U.upf
Fe 55.84 Fe.upf
ATOMIC_POSITIONS angstrom
I 5.701 0.337 7.366
I 1.949 1.143 7.769
I 6.784 1.447 2.828
I 1.614 5.920 7.502
I 6.450 6.225 2.561
I 2.697 7.030 2.964
I 2.997 2.486 3.511
I 5.401 4.881 6.819
U 4.169 0.698 1.503
U 4.229 6.670 8.827
Fe 0.000 0.000 0.000
CELL_PARAMETERS angstrom
7.621 -0.290 0.829
0.967 8.373 1.041
-0.188 -0.715 8.459
! Fermi-level density of states, states/eV/atom: 1.1471
! Energy relative to the elements, uncorrected, eV/atom: -0.54
! Space group: C2/m, No. 12